# 1
A geometry-optimized BeCrSn3 structure. Source: Alexandria via LeMat-Bulk, functional PBEsol.

Results
**Space group**: No. 221
**Calculated total energy**: -23.463 eV for the cell shown

Structure (extended XYZ):
```
5
Lattice="4.957 0.000 0.000 0.000 4.957 0.000 0.000 0.000 4.957" Properties=species:S:1:pos:R:3 pbc="T T T"
Sn 0.000 2.479 0.000
Sn 2.479 0.000 0.000
Sn 0.000 0.000 2.479
Be 2.479 2.479 2.479
Cr 0.000 0.000 0.000
```

***

# 2
A geometry-optimized SrBe4Cr structure. Source: Alexandria via LeMat-Bulk, functional PBEsol.

Results
**Space group**: No. 216
**Calculated total energy**: -25.163 eV for the cell shown

Structure (extended XYZ):
```
6
Lattice="4.842 0.000 0.000 2.421 4.193 0.000 2.421 1.398 3.953" Properties=species:S:1:pos:R:3 pbc="T T T"
Be 4.842 1.463 2.448
Be 3.688 3.462 2.448
Be 5.996 3.462 2.448
Be 4.842 2.795 0.563
Cr 2.421 1.398 0.988
Sr 0.000 0.000 0.000
```

***

# 3
A geometry-optimized SrBe2Cr structure. Source: Alexandria via LeMat-Bulk, functional PBEsol.

Results
**Space group**: No. 65
**Energy above the most stable polymorph in this dataset**: 407 meV/atom

Structure (extended XYZ):
```
4
Lattice="2.670 0.000 0.000 0.000 4.689 0.002 0.000 -0.365 4.674" Properties=species:S:1:pos:R:3 pbc="T T T"
Cr 1.335 0.000 0.000
Sr 1.335 2.162 2.338
Be 0.000 2.344 0.001
Be 0.000 -0.183 2.337
```

***

# 4
A geometry-optimized Sr3BeCr structure. Source: Alexandria via LeMat-Bulk, functional PBEsol.

Results
**Space group**: No. 221
**Calculated total energy**: -15.634 eV for the cell shown

Structure (extended XYZ):
```
5
Lattice="-1.705 5.533 0.390 -1.747 -0.923 5.456 5.264 1.485 1.937" Properties=species:S:1:pos:R:3 pbc="T T T"
Sr 2.632 0.743 0.968
Sr -0.852 2.766 0.195
Sr -0.873 -0.462 2.728
Cr 0.906 3.047 3.891
Be 0.000 0.000 0.000
```

***

# 5
A geometry-optimized SrBe2Cr structure. Source: Alexandria via LeMat-Bulk, functional PBEsol.

Results
**Space group**: No. 99
**Energy above the most stable polymorph in this dataset**: 145 meV/atom

Structure (extended XYZ):
```
4
Lattice="3.011 0.000 0.000 0.000 3.011 0.000 0.000 0.000 7.184" Properties=species:S:1:pos:R:3 pbc="T T T"
Cr 0.000 0.000 2.944
Be 0.000 0.000 0.647
Be 1.506 1.505 1.700
Sr 1.506 1.505 5.484
```

***

# 6
A geometry-optimized SrBe2Cr structure. Source: Alexandria via LeMat-Bulk, functional PBEsol.

Results
**Space group**: No. 6
**Energy above the most stable polymorph in this dataset**: 0 meV/atom

Structure (extended XYZ):
```
4
Lattice="-2.714 1.456 0.388 -1.476 -3.114 1.362 3.020 0.888 5.302" Properties=species:S:1:pos:R:3 pbc="T T T"
Be -2.057 1.325 0.800
Be -2.491 0.068 2.497
Sr 1.068 -0.574 4.885
Cr -0.250 1.039 2.104
```

***

# 7
A geometry-optimized TaBe4Cr structure. Source: Alexandria via LeMat-Bulk, functional PBEsol.

Results
**Space group**: No. 216
**Calculated total energy**: -39.984 eV for the cell shown

Structure (extended XYZ):
```
6
Lattice="-0.674 -4.328 -0.177 3.263 -2.767 0.955 -0.131 -2.351 3.698" Properties=species:S:1:pos:R:3 pbc="T T T"
Be 2.540 -4.924 2.156
Be 0.860 -4.718 3.514
Be 0.925 -3.554 1.684
Be 0.591 -5.697 1.596
Cr 1.844 -7.085 3.356
Ta 0.000 0.000 0.000
```

***

# 8
A geometry-optimized Ta2Be2Cr structure. Source: Alexandria via LeMat-Bulk, functional PBEsol.

Results
**Space group**: No. 127
**Calculated total energy**: -87.891 eV for the cell shown

Structure (extended XYZ):
```
10
Lattice="3.271 0.000 0.000 0.000 6.165 0.000 0.000 0.000 6.165" Properties=species:S:1:pos:R:3 pbc="T T T"
Cr 0.000 0.000 0.000
Cr 0.000 3.083 3.083
Be 0.000 5.438 3.810
Be 0.000 0.727 2.356
Be 0.000 2.356 5.438
Be 0.000 3.810 0.727
Ta 1.635 1.113 4.195
Ta 1.635 5.053 1.970
Ta 1.635 1.970 1.113
Ta 1.635 4.195 5.053
```

***

# 9
A geometry-optimized Ta2BeCrW structure. Source: Alexandria via LeMat-Bulk, functional PBEsol.

Results
**Space group**: No. 123
**Calculated total energy**: -44.218 eV for the cell shown

Structure (extended XYZ):
```
5
Lattice="4.350 0.000 0.000 0.000 4.804 0.000 0.000 0.000 4.804" Properties=species:S:1:pos:R:3 pbc="T T T"
W 0.000 0.000 0.000
Ta 0.000 2.402 0.000
Ta 0.000 0.000 2.402
Cr 2.175 2.402 2.402
Be 2.175 0.000 0.000
```

***

# 10
A geometry-optimized Be4CrTc structure. Source: Alexandria via LeMat-Bulk, functional PBEsol.

Results
**Space group**: No. 216
**Calculated total energy**: -39.416 eV for the cell shown

Structure (extended XYZ):
```
6
Lattice="-3.839 -1.770 -0.383 -0.596 -3.210 -2.713 -0.685 -3.922 1.471" Properties=species:S:1:pos:R:3 pbc="T T T"
Be -2.263 -5.298 0.125
Be -2.219 -4.943 -1.964
Be -3.838 -4.224 -0.801
Be -1.921 -3.340 -0.610
Cr -3.841 -6.677 -1.219
Tc 0.000 0.000 0.000
```

***

# 11
A geometry-optimized BeCrTeW2 structure. Source: Alexandria via LeMat-Bulk, functional PBEsol.

Results
**Formation energy (no corrections)**: 59.487 kcal/mol of atoms
**Space group**: No. 123

Structure (extended XYZ):
```
5
Lattice="4.671 0.000 0.000 0.000 4.852 0.000 0.000 0.000 4.852" Properties=species:S:1:pos:R:3 pbc="T T T"
W 0.000 0.000 2.426
W 0.000 2.426 0.000
Be 2.335 2.426 2.426
Cr 2.335 0.000 0.000
Te 0.000 0.000 0.000
```

***

# 12
A geometry-optimized TiBe3Cr structure. Source: Alexandria via LeMat-Bulk, functional PBEsol.

Results
**Space group**: No. 221
**Calculated total energy**: -26.608 eV for the cell shown

Structure (extended XYZ):
```
5
Lattice="-1.686 -1.152 -3.355 1.765 -3.495 0.313 -3.077 -1.374 2.018" Properties=species:S:1:pos:R:3 pbc="T T T"
Be -1.539 -0.687 1.009
Be -0.843 -0.576 -1.678
Be 0.883 -1.748 0.157
Ti -1.499 -3.010 -0.512
Cr 0.000 0.000 0.000
```

***

Repeat the eighth record exactly.
A geometry-optimized Ta2Be2Cr structure. Source: Alexandria via LeMat-Bulk, functional PBEsol.

Results
**Space group**: No. 127
**Calculated total energy**: -87.891 eV for the cell shown

Structure (extended XYZ):
```
10
Lattice="3.271 0.000 0.000 0.000 6.165 0.000 0.000 0.000 6.165" Properties=species:S:1:pos:R:3 pbc="T T T"
Cr 0.000 0.000 0.000
Cr 0.000 3.083 3.083
Be 0.000 5.438 3.810
Be 0.000 0.727 2.356
Be 0.000 2.356 5.438
Be 0.000 3.810 0.727
Ta 1.635 1.113 4.195
Ta 1.635 5.053 1.970
Ta 1.635 1.970 1.113
Ta 1.635 4.195 5.053
```

***

Repeat the eleventh record exactly.
A geometry-optimized BeCrTeW2 structure. Source: Alexandria via LeMat-Bulk, functional PBEsol.

Results
**Formation energy (no corrections)**: 59.487 kcal/mol of atoms
**Space group**: No. 123

Structure (extended XYZ):
```
5
Lattice="4.671 0.000 0.000 0.000 4.852 0.000 0.000 0.000 4.852" Properties=species:S:1:pos:R:3 pbc="T T T"
W 0.000 0.000 2.426
W 0.000 2.426 0.000
Be 2.335 2.426 2.426
Cr 2.335 0.000 0.000
Te 0.000 0.000 0.000
```